(1)
! Cs3LaTh2Se6 GGA-PBE optimized geometry; values from VASP
&SYSTEM
  ibrav = 0, nat = 12, ntyp = 4
/
ATOMIC_SPECIES
Cs 132.91 Cs.upf
La 138.91 La.upf
Th 232.04 Th.upf
Se 78.96 Se.upf
CELL_PARAMETERS angstrom
3.7822 -6.5507 0.0000
3.7822 6.5507 0.0000
-2.5220 0.0000 8.4727
ATOMIC_POSITIONS crystal
Cs 0.0000 0.0000 0.0000
Cs 0.3353 0.6647 0.0000
Cs 0.6647 0.3353 0.0000
La 0.5000 0.5000 0.5000
Th 0.1669 0.8331 0.5000
Th 0.8331 0.1669 0.5000
Se 0.0923 0.4352 0.3058
Se 0.2216 0.2216 0.6934
Se 0.4352 0.0923 0.3058
Se 0.5648 0.9077 0.6942
Se 0.7784 0.7784 0.3066
Se 0.9077 0.5648 0.6942
! - E_form (uncorrected): -19.36 eV/f.u.
! - Space group: No. 12
! - Electronic total energy: -5.216 eV per atom
! - Crystal system: monoclinic


(2)
! Cs2LaThSe4 GGA-PBE optimized geometry; values from VASP
&SYSTEM
  ibrav = 0, nat = 8, ntyp = 4
/
ATOMIC_SPECIES
Cs 132.91 Cs.upf
La 138.91 La.upf
Th 232.04 Th.upf
Se 78.96 Se.upf
CELL_PARAMETERS angstrom
7.6380 0.0000 0.0000
0.0000 4.3988 0.0000
-2.5298 0.0000 8.4341
ATOMIC_POSITIONS crystal
Cs 0.0000 0.0000 0.0000
Cs 0.5000 0.5000 0.0000
La 0.0000 0.5000 0.5000
Th 0.5000 0.0000 0.5000
Se 0.2407 0.0000 0.6935
Se 0.2774 0.5000 0.3079
Se 0.7226 0.5000 0.6921
Se 0.7593 0.0000 0.3065
! - E_form (uncorrected): -13.29 eV/f.u.
! - Space group: No. 10
! - Electronic total energy: -5.161 eV per atom
! - Crystal system: monoclinic


(3)
! Cs4LaTh3Se8 GGA-PBE optimized geometry; values from VASP
&SYSTEM
  ibrav = 0, nat = 16, ntyp = 4
/
ATOMIC_SPECIES
Cs 132.91 Cs.upf
La 138.91 La.upf
Th 232.04 Th.upf
Se 78.96 Se.upf
CELL_PARAMETERS angstrom
4.3485 2.5106 8.4911
-4.3485 2.5106 8.4911
0.0000 -5.0212 8.4911
ATOMIC_POSITIONS crystal
Cs 0.0000 0.0000 0.0000
Cs 0.0000 0.5000 0.5000
Cs 0.5000 0.0000 0.5000
Cs 0.5000 0.5000 0.0000
La 0.5000 0.5000 0.5000
Th 0.0000 0.0000 0.5000
Th 0.0000 0.5000 0.0000
Th 0.5000 0.0000 0.0000
Se 0.2237 0.7356 0.7356
Se 0.2312 0.2312 0.2312
Se 0.2644 0.2644 0.7763
Se 0.2644 0.7763 0.2644
Se 0.7356 0.2237 0.7356
Se 0.7356 0.7356 0.2237
Se 0.7688 0.7688 0.7688
Se 0.7763 0.2644 0.2644
! - E_form (uncorrected): -25.41 eV/f.u.
! - Space group: No. 166
! - Electronic total energy: -5.243 eV per atom
! - Crystal system: trigonal


(4)
! CsLaTlSe3 GGA-PBE optimized geometry; values from VASP
&SYSTEM
  ibrav = 0, nat = 12, ntyp = 4
/
ATOMIC_SPECIES
Cs 132.91 Cs.upf
La 138.91 La.upf
Tl 204.38 Tl.upf
Se 78.96 Se.upf
CELL_PARAMETERS angstrom
9.3044 0.0000 0.0000
0.0000 4.8802 0.0000
-3.4337 0.0000 10.2454
ATOMIC_POSITIONS crystal
Cs 0.2297 0.2500 0.2462
Cs 0.7703 0.7500 0.7538
La 0.3221 0.7500 0.8674
La 0.6779 0.2500 0.1326
Tl 0.1117 0.2500 0.6045
Tl 0.8883 0.7500 0.3955
Se 0.1086 0.2500 0.8630
Se 0.2266 0.7500 0.5525
Se 0.4802 0.7500 0.1469
Se 0.5198 0.2500 0.8531
Se 0.7734 0.2500 0.4475
Se 0.8914 0.7500 0.1370
! - E_form (uncorrected): -7.28 eV/f.u.
! - Space group: No. 11
! - Electronic total energy: -4.313 eV per atom
! - Crystal system: monoclinic


(5)
! Cs2LaTlSe4 GGA-PBE optimized geometry; values from VASP
&SYSTEM
  ibrav = 0, nat = 16, ntyp = 4
/
ATOMIC_SPECIES
Cs 132.91 Cs.upf
La 138.91 La.upf
Tl 204.38 Tl.upf
Se 78.96 Se.upf
CELL_PARAMETERS angstrom
6.3538 -6.7580 0.0000
6.3538 6.7580 0.0000
-6.2883 0.0000 6.7600
ATOMIC_POSITIONS crystal
Cs 0.0000 0.0000 0.0000
Cs 0.0000 0.0000 0.5000
Cs 0.0000 0.5000 0.0000
Cs 0.5000 0.0000 0.5000
La 0.5000 0.5000 0.0000
La 0.5000 0.5000 0.5000
Tl 0.0000 0.5000 0.5000
Tl 0.5000 0.0000 0.0000
Se 0.2370 0.7056 0.5170
Se 0.2806 0.3034 0.5499
Se 0.2944 0.7630 0.9830
Se 0.3034 0.2806 0.0499
Se 0.6966 0.7194 0.9501
Se 0.7056 0.2370 0.0170
Se 0.7194 0.6966 0.4501
Se 0.7630 0.2944 0.4830
! - E_form (uncorrected): -8.76 eV/f.u.
! - Space group: No. 15
! - Electronic total energy: -3.962 eV per atom
! - Crystal system: monoclinic


(6)
! Cs4La3TmSe8 GGA-PBE optimized geometry; values from VASP
&SYSTEM
  ibrav = 0, nat = 16, ntyp = 4
/
ATOMIC_SPECIES
Cs 132.91 Cs.upf
La 138.91 La.upf
Tm 168.93 Tm.upf
Se 78.96 Se.upf
CELL_PARAMETERS angstrom
4.4290 2.5571 8.3830
-4.4290 2.5571 8.3830
0.0000 -5.1142 8.3830
ATOMIC_POSITIONS crystal
Cs 0.0000 0.0000 0.0000
Cs 0.0000 0.5000 0.5000
Cs 0.5000 0.0000 0.5000
Cs 0.5000 0.5000 0.0000
La 0.0000 0.0000 0.5000
La 0.0000 0.5000 0.0000
La 0.5000 0.0000 0.0000
Tm 0.5000 0.5000 0.5000
Se 0.2309 0.2309 0.2309
Se 0.2424 0.7225 0.7225
Se 0.2775 0.2775 0.7576
Se 0.2775 0.7576 0.2775
Se 0.7225 0.2424 0.7225
Se 0.7225 0.7225 0.2424
Se 0.7576 0.2775 0.2775
Se 0.7691 0.7691 0.7691
! - E_form (uncorrected): -28.46 eV/f.u.
! - Space group: No. 166
! - Electronic total energy: -4.938 eV per atom
! - Crystal system: trigonal


(7)
! Cs2LaTmSe4 GGA-PBE optimized geometry; values from VASP
&SYSTEM
  ibrav = 0, nat = 8, ntyp = 4
/
ATOMIC_SPECIES
Cs 132.91 Cs.upf
La 138.91 La.upf
Tm 168.93 Tm.upf
Se 78.96 Se.upf
CELL_PARAMETERS angstrom
7.5515 0.0000 0.0000
0.0000 4.3569 0.0000
-2.5079 0.0000 8.3808
ATOMIC_POSITIONS crystal
Cs 0.0000 0.0000 0.0000
Cs 0.5000 0.5000 0.0000
La 0.0000 0.5000 0.5000
Tm 0.5000 0.0000 0.5000
Se 0.2435 0.0000 0.6890
Se 0.2844 0.5000 0.3154
Se 0.7156 0.5000 0.6846
Se 0.7565 0.0000 0.3110
! - E_form (uncorrected): -14.00 eV/f.u.
! - Space group: No. 10
! - Electronic total energy: -4.881 eV per atom
! - Crystal system: monoclinic


(8)
! Cs3LaTm2Se6 GGA-PBE optimized geometry; values from VASP
&SYSTEM
  ibrav = 0, nat = 12, ntyp = 4
/
ATOMIC_SPECIES
Cs 132.91 Cs.upf
La 138.91 La.upf
Tm 168.93 Tm.upf
Se 78.96 Se.upf
CELL_PARAMETERS angstrom
3.7331 -6.4655 0.0000
3.7331 6.4655 0.0000
-2.4919 0.0000 8.3757
ATOMIC_POSITIONS crystal
Cs 0.0000 0.0000 0.0000
Cs 0.3359 0.6641 0.0000
Cs 0.6641 0.3359 0.0000
La 0.5000 0.5000 0.5000
Tm 0.1668 0.8332 0.5000
Tm 0.8332 0.1668 0.5000
Se 0.0900 0.4380 0.3141
Se 0.2137 0.2137 0.6848
Se 0.4380 0.0900 0.3141
Se 0.5620 0.9100 0.6859
Se 0.7863 0.7863 0.3152
Se 0.9100 0.5620 0.6859
! - E_form (uncorrected): -20.85 eV/f.u.
! - Space group: No. 12
! - Electronic total energy: -4.849 eV per atom
! - Crystal system: monoclinic


What is the electronic total energy in the fifth record? -3.962 eV per atom